Crystalline Au5Cl at its relaxed geometry. Source: Alexandria, functional PBE.

## Properties
For the energy above the most stable polymorph in this dataset, the calculation gives 0.003 eV/atom. Its total energy is -17.5 eV/f.u. The magnetic moment is 0.00 μB/cell. The value obtained for the uncorrected formation energy is 119.7 meV/atom.

abc: 5.6228 5.6228 4.6255
angles: 90.00 90.00 120.00
Closest atoms and distances in Å follow each position.
Space group P6/mmm (No. 191)
Inequivalent atoms, fractional coordinates:
Au  0.0000  0.5000  0.0000 [3 per cell]  8 Au 2.81-2.83
Au  0.3333  0.6667  0.5000 [2 per cell]  6 Au 2.83
Cl  0.0000  0.0000  0.5000 [1 per cell]  6 Au 3.25

---

Crystalline ScCd at its relaxed geometry. Source: Alexandria, functional PBE.

## Properties
For the formation energy, the calculation gives 0.00 eV per atom. Its total energy is -7.3 eV/f.u. The magnetic moment is 0.00 μB/cell.

abc: 4.7718 4.7718 14.9451
angles: 90.00 90.00 120.00
Closest atoms and distances in Å follow each position.
Space group R-3m (No. 166, hexagonal axes)
Inequivalent atoms, fractional coordinates:
Sc  0.0000  0.0000  0.1023 [6 per cell]  7 Cd 3.01-3.32, 4 Sc 3.06-3.36
Cd  0.0000  0.0000  0.3116 [6 per cell]  3 Cd 2.83, 4 Sc 3.01-3.13

---

Crystalline Cs3SrCe2Se6 at its relaxed geometry. Source: Alexandria, functional PBE.

## Properties
Its total energy is -57.2 eV/f.u. The magnetic moment is 2.04 μB/cell. The value obtained for the uncorrected formation energy is -1679.5 meV/atom.

abc: 7.7237 13.3722 8.7362
angles: 90.00 107.13 90.00
Closest atoms and distances in Å follow each position.
Space group C2/m (No. 12)
Inequivalent atoms, fractional coordinates:
Cs  0.0000  0.0000  0.0000 [2 per cell]  6 Se 3.56-3.71
Cs  0.0000  0.3386  0.0000 [4 per cell]  6 Se 3.59-3.71
Sr  0.0000  0.5000  0.5000 [2 per cell]  6 Se 3.14-3.16
Ce  0.0000  0.1671  0.5000 [4 per cell]  6 Se 2.95-2.96
Se  0.2094  0.0000  0.6872 [4 per cell]  2 Ce 2.95, 1 Sr 3.14
Se  0.2401  0.3232  0.6896 [8 per cell]  2 Ce 2.96, 1 Sr 3.16

---

- magnetic moment of number 3 (Cs3SrCe2Se6)?
  2.04 μB/cell

---

- Among the records above, which one has the highest magnetic moment?
  Cs3SrCe2Se6